Entry from Alexandria via LeMat-Bulk: crystalline NbReSN2 at its relaxed geometry (GGA-PBEsol).

Cell lengths 3.805, 3.805, 4.810 Å; angles 90.00, 90.00, 90.00 degrees
Site moments in Bohr magnetons follow the coordinates.
Atoms (fractional coordinates):
N 0.500 0.000 0.000  -0.08
N 0.000 0.500 0.000  -0.08
Re 0.000 0.000 0.000  0.03
Nb 0.500 0.500 0.500  1.52
S 0.000 0.000 0.500  -0.03

Values from the calculation:
For the volume, the calculation gives 13.93 Å³/atom. The value obtained for the uncorrected formation energy is 0.487 eV/atom. The space group is P4/mmm, No. 123. The electronic total energy is -8.6315 eV/atom. The calculation puts the size of the total moment at 1.57 μB/cell.